No. 1
KCuOs2O: relaxed, PBE.

Output
ΔE_f (raw) = 1.92 eV/atom
Total energy = -4.599 eV per atom
Total moment = 5.16 μB/cell

Cell lengths 4.7608, 4.2247, 4.7608 Å; angles 90.00, 90.00, 90.00 degrees
Last column: nearest neighbours and their distance in Å.
Fractional coordinates of all 5 atoms:
Os 0.0000 0.0000 0.5000  2 Cu 2.38
Os 0.5000 0.0000 0.0000  2 Cu 2.38
Cu 0.0000 0.0000 0.0000  2 O 2.11
K 0.5000 0.5000 0.5000  8 Os 3.18, 4 O 3.37
O 0.0000 0.5000 0.0000  2 Cu 2.11



No. 2
KCuP2O: relaxed, PBE.

Output
ΔE_f (raw) = 1.88 eV/atom
Energy above the lowest structure with this stoichiometry = 1488 meV/atom
Total energy = -2.313 eV per atom
Total moment = 0.00 μB/cell

Cell lengths 5.4101, 5.4101, 4.0130 Å; angles 90.00, 90.00, 90.00 degrees
Last column: nearest neighbours and their distance in Å.
Fractional coordinates of all 5 atoms:
O 0.0000 0.0000 0.5000  2 K 2.01
P 0.5000 0.0000 0.0000  2 K 2.71
P 0.0000 0.5000 0.0000  2 K 2.71
K 0.0000 0.0000 0.0000  2 O 2.01
Cu 0.5000 0.5000 0.5000  8 P 3.37



No. 3
KCuP2O: relaxed, PBE.

Output
ΔE_f (raw) = 0.39 eV/atom
Energy above the lowest structure with this stoichiometry = 0 meV/atom
Total energy = -3.801 eV per atom
Total moment = 1.09 μB/cell

Cell lengths 4.5186, 4.5186, 4.4782 Å; angles 90.00, 90.00, 90.00 degrees
Last column: nearest neighbours and their distance in Å.
Fractional coordinates of all 5 atoms:
K 0.5000 0.5000 0.5000  8 P 3.18, 4 O 3.20
P 0.5000 0.0000 0.0000  2 Cu 2.26
P 0.0000 0.5000 0.0000  2 Cu 2.26
O 0.0000 0.0000 0.5000  2 Cu 2.24
Cu 0.0000 0.0000 0.0000  2 O 2.24, 4 P 2.26